TlCr2PtO8 | PBE with a Hubbard U | optimized geometry Values from VASP.

Results
Symmetry   P-3m1 (164)
Raw total energy   -6.166 eV per atom

```
&SYSTEM
  ibrav = 0, nat = 12, ntyp = 4
/
ATOMIC_SPECIES
Tl 204.38 Tl.upf
Cr 52.00 Cr.upf
Pt 195.08 Pt.upf
O 16.00 O.upf
CELL_PARAMETERS angstrom
5.545 0.000 0.000
-2.773 4.802 0.000
0.000 0.000 7.746
ATOMIC_POSITIONS angstrom
Tl 0.000 0.000 3.873
Cr 0.000 3.202 5.981
Cr 2.773 1.601 1.764
Pt 0.000 0.000 0.000
O 0.000 1.579 6.488
O -1.405 4.013 6.488
O 1.405 4.013 6.488
O 1.368 0.790 1.258
O 2.773 1.601 3.393
O 0.000 3.202 4.353
O 2.773 3.223 1.258
O 4.178 0.790 1.258
```

=====

UCrPtO6 | PBE with a Hubbard U | optimized geometry Values from VASP.

Results
Symmetry   P-31c (163)
Raw total energy   -7.942 eV per atom

```
&SYSTEM
  ibrav = 0, nat = 18, ntyp = 4
/
ATOMIC_SPECIES
U 238.03 U.upf
Cr 52.00 Cr.upf
Pt 195.08 Pt.upf
O 16.00 O.upf
CELL_PARAMETERS angstrom
-2.534 4.009 2.253
-2.572 -3.254 -3.219
-2.141 -5.359 7.128
ATOMIC_POSITIONS angstrom
U -3.081 0.248 2.211
U -4.165 -4.853 3.951
Cr 0.000 0.000 0.000
Cr -1.070 -2.680 3.564
Pt -3.094 -2.173 0.387
Pt -4.152 -2.432 5.775
O -3.701 -0.196 0.216
O -1.145 -1.713 -0.157
O -2.203 -2.049 5.173
O -6.101 -2.891 6.319
O -2.474 -1.797 2.331
O -2.568 -4.176 0.514
O -3.613 -2.005 7.733
O -5.043 -2.556 0.989
O -4.678 -0.428 5.648
O -3.633 -2.600 -1.571
O -4.772 -2.808 3.830
O -3.545 -4.409 5.946
```

=====

PuCrO5 | PBE with a Hubbard U | optimized geometry Values from VASP.

Results
Symmetry   P-1 (2)
Raw total energy   -8.627 eV per atom

```
&SYSTEM
  ibrav = 0, nat = 14, ntyp = 3
/
ATOMIC_SPECIES
Pu 244.00 Pu.upf
Cr 52.00 Cr.upf
O 16.00 O.upf
CELL_PARAMETERS angstrom
-5.655 4.293 0.904
-0.113 -6.375 0.106
2.846 4.234 5.993
ATOMIC_POSITIONS angstrom
Pu 0.000 0.000 0.000
Pu 1.423 2.117 2.996
Cr -1.486 -0.066 2.607
Cr -1.437 2.219 4.396
O 0.102 -0.931 1.659
O -2.656 1.387 3.280
O -0.295 3.334 3.693
O -4.989 -0.200 2.267
O -1.776 0.462 0.851
O -1.147 1.691 6.152
O 2.066 2.353 4.736
O -2.628 -1.181 3.309
O -0.267 0.766 3.723
O -3.025 3.084 5.344
```

=====

PuCrO3 | PBE with a Hubbard U | optimized geometry Values from VASP.

Results
Symmetry   Pnma (62)
Raw total energy   -9.608 eV per atom

```
&SYSTEM
  ibrav = 0, nat = 20, ntyp = 3
/
ATOMIC_SPECIES
Cr 52.00 Cr.upf
O 16.00 O.upf
Pu 244.00 Pu.upf
CELL_PARAMETERS angstrom
5.431 0.000 0.000
0.000 5.628 0.000
0.000 0.000 7.678
ATOMIC_POSITIONS angstrom
Cr 0.000 2.814 0.000
Cr 2.715 0.000 0.000
Cr 2.715 0.000 3.839
Cr 0.000 2.814 3.839
O 3.763 1.717 3.460
O 1.048 1.097 4.218
O 4.382 4.532 0.379
O 1.667 3.911 7.299
O 1.667 3.911 4.218
O 4.382 4.532 3.460
O 1.048 1.097 7.299
O 3.763 1.717 0.379
O 0.542 2.678 1.920
O 3.258 0.136 5.759
O 2.173 5.492 1.920
O 4.888 2.951 5.759
Pu 5.349 0.374 1.920
Pu 2.634 2.440 5.759
Pu 2.797 3.189 1.920
Pu 0.082 5.254 5.759
```

=====

Pu3Cr5O12 | PBE with a Hubbard U | optimized geometry Values from VASP.

Results
Symmetry   Ia-3d (230)
Raw total energy   -9.205 eV per atom

```
&SYSTEM
  ibrav = 0, nat = 80, ntyp = 3
/
ATOMIC_SPECIES
Pu 244.00 Pu.upf
Cr 52.00 Cr.upf
O 16.00 O.upf
CELL_PARAMETERS angstrom
10.981 0.000 0.000
-3.660 10.353 0.000
-3.660 -5.176 8.966
ATOMIC_POSITIONS angstrom
Pu 6.406 3.235 1.121
Pu 6.406 7.118 1.121
Pu -0.915 4.529 5.604
Pu 0.915 -0.647 3.362
Pu 8.236 0.000 2.241
Pu 0.915 5.176 2.241
Pu 2.745 0.000 6.724
Pu -4.575 5.176 6.724
Pu 2.745 5.824 5.604
Pu 4.575 0.647 3.362
Pu -2.745 -1.941 7.845
Pu -2.745 1.941 7.845
Cr -0.915 2.588 2.241
Cr -1.830 5.176 0.000
Cr 0.000 0.000 0.000
Cr 2.745 1.941 1.121
Cr 3.660 -2.588 4.483
Cr 3.660 5.176 0.000
Cr -2.745 5.824 3.362
Cr 4.575 -3.235 7.845
Cr 4.575 4.529 3.362
Cr 0.915 -2.588 6.724
Cr 2.745 7.765 2.241
Cr 1.830 2.588 4.483
Cr 5.490 0.000 0.000
Cr -1.830 -2.588 4.483
Cr -0.915 0.647 5.604
Cr -0.915 8.412 1.121
Cr -3.660 2.588 4.483
Cr 6.406 -0.647 5.604
Cr 0.915 3.235 7.845
Cr 4.575 2.588 6.724
O 7.165 1.162 0.296
O 0.155 3.425 3.624
O 8.186 2.324 2.632
O 4.625 1.471 1.154
O 1.293 3.827 6.038
O 7.803 5.270 1.555
O -0.865 6.030 3.786
O -2.795 8.882 1.154
O 0.538 6.525 6.038
O 5.008 5.083 1.555
O 5.646 2.914 3.328
O 5.646 9.190 0.296
O -3.123 4.555 4.778
O 2.313 3.783 0.696
O -3.815 7.439 3.328
O 1.985 -1.751 5.342
O -0.538 0.727 1.851
O 2.313 6.477 0.859
O 4.625 8.029 2.632
O -0.483 3.876 0.859
O -2.368 5.904 7.115
O 2.695 4.323 3.786
O 4.953 5.798 4.778
O 4.143 -1.394 8.269
O 0.965 0.853 5.179
O -1.293 -0.622 4.187
O -0.483 6.570 0.696
O -0.965 -2.853 6.334
O 6.028 -0.727 1.851
O 4.143 1.300 8.107
O 1.348 -1.300 8.107
O 1.675 6.928 3.624
O 4.198 4.449 7.115
O 7.476 -2.263 5.637
O 6.783 0.622 4.187
O -1.985 -4.014 8.670
O 1.348 1.394 8.269
O 3.123 -1.349 2.928
O -1.348 0.094 7.410
O -1.985 2.263 5.637
O 6.456 -3.706 7.811
O 4.525 -0.853 5.179
O -0.965 3.706 7.811
O -4.143 -0.094 7.410
O 2.368 1.349 2.928
O -4.525 2.853 6.334
O 3.505 1.751 5.342
O -3.505 4.014 8.670
```

=====

PuCrO4 | PBE with a Hubbard U | optimized geometry Values from VASP.

Results
Symmetry   Cmmm (65)
Raw total energy   -9.324 eV per atom

```
&SYSTEM
  ibrav = 0, nat = 6, ntyp = 3
/
ATOMIC_SPECIES
Pu 244.00 Pu.upf
Cr 52.00 Cr.upf
O 16.00 O.upf
CELL_PARAMETERS angstrom
-0.167 -2.212 2.510
4.139 1.584 1.672
-2.310 3.178 2.647
ATOMIC_POSITIONS angstrom
Pu 0.000 0.000 0.000
Cr 0.831 1.276 3.414
O 2.755 0.800 3.123
O -1.092 1.751 3.705
O 0.574 1.494 1.355
O 1.256 3.269 2.964
```